# 1
# NaAcZn2Pt2 (PBE-GGA, relaxed)
# **Formation energy from the elements**: -0.65 eV/atom
# **Magnetization**: 0.000 μB/f.u.
data_NaAcZn2Pt2
_chemical_formula_sum 'Na1 Ac1 Zn2 Pt2'
_cell_length_a 4.5019
_cell_length_b 4.5019
_cell_length_c 7.1570
_cell_angle_alpha 90.00
_cell_angle_beta 90.00
_cell_angle_gamma 120.00
_space_group_name_H-M_alt 'P -3 m 1'
_space_group_IT_number 164
_space_group_name_Hall '-P 3 2"'
loop_
_atom_site_label
_atom_site_fract_x
_atom_site_fract_y
_atom_site_fract_z
_atom_site_occupancy
Na1 0.0000 0.0000 0.0000 1
Ac1 0.0000 0.0000 0.5000 1
Zn1 0.3333 0.6667 0.8316 1
Pt1 0.3333 0.6667 0.2262 1

# 2
# NaAc2Pu (PBE-GGA, relaxed)
# **Formation energy from the elements**: 0.28 eV/atom
# **Magnetization**: 6.167 μB/f.u.
data_NaAc2Pu
_chemical_formula_sum 'Na3 Ac6 Pu3'
_cell_length_a 3.7763
_cell_length_b 3.7763
_cell_length_c 39.7395
_cell_angle_alpha 90.00
_cell_angle_beta 90.00
_cell_angle_gamma 120.00
_space_group_name_H-M_alt 'R -3 m'
_space_group_IT_number 166
_space_group_name_Hall '-R 3 2"'
loop_
_atom_site_label
_atom_site_fract_x
_atom_site_fract_y
_atom_site_fract_z
_atom_site_occupancy
Na1 0.0000 0.0000 0.0000 1
Ac1 0.0000 0.0000 0.0932 1
Pu1 0.0000 0.0000 0.5000 1

# 3
# Na3Ac2PuS6 (PBE-GGA, relaxed)
# **Magnetization**: 5.000 μB/f.u.
# **E_form (uncorrected)**: -20.4 eV/f.u.
data_Na3Ac2PuS6
_chemical_formula_sum 'Na6 Ac4 Pu2 S12'
_cell_length_a 7.4037
_cell_length_b 12.8333
_cell_length_c 7.1222
_cell_angle_alpha 90.00
_cell_angle_beta 110.19
_cell_angle_gamma 90.00
_space_group_name_H-M_alt 'C 1 2/m 1'
_space_group_IT_number 12
loop_
_space_group_symop_operation_xyz
'x,y,z'
'-x,-y,-z'
'-x,y,-z'
'x,-y,z'
'x+1/2,y+1/2,z'
'-x+1/2,-y+1/2,-z'
'-x+1/2,y+1/2,-z'
'x+1/2,-y+1/2,z'
loop_
_atom_site_label
_atom_site_fract_x
_atom_site_fract_y
_atom_site_fract_z
_atom_site_occupancy
Na1 0.0000 0.0000 0.0000 1
Na2 0.0000 0.3386 0.0000 1
Ac1 0.0000 0.1671 0.5000 1
Pu1 0.0000 0.5000 0.5000 1
S1 0.2375 0.3412 0.7369 1
S2 0.2405 0.5000 0.2673 1

# 4
# Na3AcPu2S6 (PBE-GGA, relaxed)
# **Magnetization**: 10.000 μB/f.u.
# **E_form (uncorrected)**: -19.4 eV/f.u.
data_Na3AcPu2S6
_chemical_formula_sum 'Na6 Ac2 Pu4 S12'
_cell_length_a 7.1976
_cell_length_b 12.4745
_cell_length_c 7.0885
_cell_angle_alpha 90.00
_cell_angle_beta 109.87
_cell_angle_gamma 90.00
_space_group_name_H-M_alt 'C 1 2/m 1'
_space_group_IT_number 12
loop_
_space_group_symop_operation_xyz
'x,y,z'
'-x,-y,-z'
'-x,y,-z'
'x,-y,z'
'x+1/2,y+1/2,z'
'-x+1/2,-y+1/2,-z'
'-x+1/2,y+1/2,-z'
'x+1/2,-y+1/2,z'
loop_
_atom_site_label
_atom_site_fract_x
_atom_site_fract_y
_atom_site_fract_z
_atom_site_occupancy
Na1 0.0000 0.0000 0.0000 1
Na2 0.0000 0.3318 0.0000 1
Ac1 0.0000 0.5000 0.5000 1
Pu1 0.0000 0.1666 0.5000 1
S1 0.2266 0.0000 0.7336 1
S2 0.2473 0.1759 0.2705 1

# 5
# Na2AcPuSe4 (PBE-GGA, relaxed)
# **Magnetization**: 5.000 μB/f.u.
# **E_form (uncorrected)**: -12.3 eV/f.u.
data_Na2AcPuSe4
_chemical_formula_sum 'Na2 Ac1 Pu1 Se4'
_cell_length_a 7.4289
_cell_length_b 4.3757
_cell_length_c 7.5948
_cell_angle_alpha 90.00
_cell_angle_beta 110.08
_cell_angle_gamma 90.00
_space_group_name_H-M_alt 'P 1 2/m 1'
_space_group_IT_number 10
loop_
_space_group_symop_operation_xyz
'x,y,z'
'-x,-y,-z'
'-x,y,-z'
'x,-y,z'
loop_
_atom_site_label
_atom_site_fract_x
_atom_site_fract_y
_atom_site_fract_z
_atom_site_occupancy
Na1 0.0000 0.0000 0.0000 1
Na2 0.0000 0.5000 0.5000 1
Ac1 0.5000 0.0000 0.5000 1
Pu1 0.5000 0.5000 0.0000 1
Se1 0.2572 0.5000 0.2391 1
Se2 0.2683 0.0000 0.7699 1

# 6
# NaAc4Pu3Se8 (PBE-GGA, relaxed)
# **Magnetization**: 17.799 μB/f.u.
# **E_form (uncorrected)**: -26.9 eV/f.u.
data_NaAc4Pu3Se8
_chemical_formula_sum 'Na3 Ac12 Pu9 Se24'
_cell_length_a 8.6902
_cell_length_b 8.6902
_cell_length_c 21.1004
_cell_angle_alpha 90.00
_cell_angle_beta 90.00
_cell_angle_gamma 120.00
_space_group_name_H-M_alt 'R -3 m'
_space_group_IT_number 166
_space_group_name_Hall '-R 3 2"'
loop_
_atom_site_label
_atom_site_fract_x
_atom_site_fract_y
_atom_site_fract_z
_atom_site_occupancy
Na1 0.0000 0.0000 0.0000 1
Ac1 0.0000 0.0000 0.5000 1
Ac2 0.0000 0.5000 0.5000 1
Pu1 0.0000 0.5000 0.0000 1
Se1 0.0000 0.0000 0.2572 1
Se2 0.0016 0.5008 0.2561 1

# 7
# NaAc2PuSe4 (PBE-GGA, relaxed)
# **Magnetization**: 6.031 μB/f.u.
# **E_form (uncorrected)**: -13.4 eV/f.u.
data_NaAc2PuSe4
_chemical_formula_sum 'Na1 Ac2 Pu1 Se4'
_cell_length_a 7.4538
_cell_length_b 4.3834
_cell_length_c 7.6252
_cell_angle_alpha 90.00
_cell_angle_beta 109.97
_cell_angle_gamma 90.00
_space_group_name_H-M_alt 'P 1 2/m 1'
_space_group_IT_number 10
loop_
_space_group_symop_operation_xyz
'x,y,z'
'-x,-y,-z'
'-x,y,-z'
'x,-y,z'
loop_
_atom_site_label
_atom_site_fract_x
_atom_site_fract_y
_atom_site_fract_z
_atom_site_occupancy
Na1 0.0000 0.0000 0.0000 1
Ac1 0.5000 0.0000 0.5000 1
Ac2 0.5000 0.5000 0.0000 1
Pu1 0.0000 0.5000 0.5000 1
Se1 0.2327 0.0000 0.7413 1
Se2 0.2383 0.5000 0.2486 1

# 8
# Na2AcPu3Se6 (PBE-GGA, relaxed)
# **Magnetization**: 17.006 μB/f.u.
# **E_form (uncorrected)**: -18.5 eV/f.u.
data_Na2AcPu3Se6
_chemical_formula_sum 'Na4 Ac2 Pu6 Se12'
_cell_length_a 7.3427
_cell_length_b 12.7153
_cell_length_c 7.5028
_cell_angle_alpha 90.00
_cell_angle_beta 109.05
_cell_angle_gamma 90.00
_space_group_name_H-M_alt 'C 1 2/m 1'
_space_group_IT_number 12
loop_
_space_group_symop_operation_xyz
'x,y,z'
'-x,-y,-z'
'-x,y,-z'
'x,-y,z'
'x+1/2,y+1/2,z'
'-x+1/2,-y+1/2,-z'
'-x+1/2,y+1/2,-z'
'x+1/2,-y+1/2,z'
loop_
_atom_site_label
_atom_site_fract_x
_atom_site_fract_y
_atom_site_fract_z
_atom_site_occupancy
Na1 0.0000 0.1667 0.0000 1
Ac1 0.0000 0.5000 0.0000 1
Pu1 0.0000 0.0000 0.5000 1
Pu2 0.0000 0.3328 0.5000 1
Se1 0.2440 0.1675 0.7341 1
Se2 0.2467 0.5000 0.7351 1

# 9
# Na3Ac2PuSe6 (PBE-GGA, relaxed)
# **Magnetization**: 5.000 μB/f.u.
# **E_form (uncorrected)**: -19.2 eV/f.u.
data_Na3Ac2PuSe6
_chemical_formula_sum 'Na6 Ac4 Pu2 Se12'
_cell_length_a 7.6797
_cell_length_b 13.3013
_cell_length_c 7.4386
_cell_angle_alpha 90.00
_cell_angle_beta 110.12
_cell_angle_gamma 90.00
_space_group_name_H-M_alt 'C 1 2/m 1'
_space_group_IT_number 12
loop_
_space_group_symop_operation_xyz
'x,y,z'
'-x,-y,-z'
'-x,y,-z'
'x,-y,z'
'x+1/2,y+1/2,z'
'-x+1/2,-y+1/2,-z'
'-x+1/2,y+1/2,-z'
'x+1/2,-y+1/2,z'
loop_
_atom_site_label
_atom_site_fract_x
_atom_site_fract_y
_atom_site_fract_z
_atom_site_occupancy
Na1 0.0000 0.0000 0.0000 1
Na2 0.0000 0.3358 0.0000 1
Ac1 0.0000 0.1669 0.5000 1
Pu1 0.0000 0.5000 0.5000 1
Se1 0.2398 0.3405 0.7408 1
Se2 0.2398 0.5000 0.2629 1

# 10
# NaAcPu2Se4 (PBE-GGA, relaxed)
# **Magnetization**: 0.100 μB/f.u.
# **E_form (uncorrected)**: -12.4 eV/f.u.
data_NaAcPu2Se4
_chemical_formula_sum 'Na1 Ac1 Pu2 Se4'
_cell_length_a 7.3982
_cell_length_b 4.2738
_cell_length_c 7.5007
_cell_angle_alpha 90.00
_cell_angle_beta 109.37
_cell_angle_gamma 90.00
_space_group_name_H-M_alt 'P 1 2/m 1'
_space_group_IT_number 10
loop_
_space_group_symop_operation_xyz
'x,y,z'
'-x,-y,-z'
'-x,y,-z'
'x,-y,z'
loop_
_atom_site_label
_atom_site_fract_x
_atom_site_fract_y
_atom_site_fract_z
_atom_site_occupancy
Na1 0.0000 0.0000 0.0000 1
Ac1 0.5000 0.5000 0.0000 1
Pu1 0.0000 0.5000 0.5000 1
Pu2 0.5000 0.0000 0.5000 1
Se1 0.2385 0.0000 0.7340 1
Se2 0.2543 0.5000 0.2647 1

# 11
# NaAc2Pu3Se6 (PBE-GGA, relaxed)
# **Magnetization**: 5.881 μB/f.u.
# **E_form (uncorrected)**: -19.2 eV/f.u.
data_NaAc2Pu3Se6
_chemical_formula_sum 'Na2 Ac4 Pu6 Se12'
_cell_length_a 18.7942
_cell_length_b 4.2776
_cell_length_c 8.6357
_cell_angle_alpha 90.00
_cell_angle_beta 103.94
_cell_angle_gamma 90.00
_space_group_name_H-M_alt 'C 1 2/m 1'
_space_group_IT_number 12
loop_
_space_group_symop_operation_xyz
'x,y,z'
'-x,-y,-z'
'-x,y,-z'
'x,-y,z'
'x+1/2,y+1/2,z'
'-x+1/2,-y+1/2,-z'
'-x+1/2,y+1/2,-z'
'x+1/2,-y+1/2,z'
loop_
_atom_site_label
_atom_site_fract_x
_atom_site_fract_y
_atom_site_fract_z
_atom_site_occupancy
Na1 0.0000 0.0000 0.0000 1
Ac1 0.1644 0.5000 0.3294 1
Pu1 0.0000 0.0000 0.5000 1
Pu2 0.1676 0.5000 0.8328 1
Se1 0.0050 0.5000 0.7437 1
Se2 0.1629 0.0000 0.5939 1
Se3 0.1682 0.0000 0.0679 1

# 12
# NaAcPuSe3 (PBE-GGA, relaxed)
# **Magnetization**: 5.959 μB/f.u.
# **E_form (uncorrected)**: -9.5 eV/f.u.
data_NaAcPuSe3
_chemical_formula_sum 'Na2 Ac2 Pu2 Se6'
_cell_length_a 7.4056
_cell_length_b 4.1800
_cell_length_c 11.1373
_cell_angle_alpha 90.00
_cell_angle_beta 102.45
_cell_angle_gamma 90.00
_space_group_name_H-M_alt 'P 1 21/m 1'
_space_group_IT_number 11
loop_
_space_group_symop_operation_xyz
'x,y,z'
'-x,-y,-z'
'-x,y+1/2,-z'
'x,-y+1/2,z'
loop_
_atom_site_label
_atom_site_fract_x
_atom_site_fract_y
_atom_site_fract_z
_atom_site_occupancy
Na1 0.1243 0.2500 0.1266 1
Ac1 0.3512 0.2500 0.8057 1
Pu1 0.2338 0.7500 0.4474 1
Se1 0.0484 0.7500 0.6570 1
Se2 0.2725 0.7500 0.9981 1
Se3 0.4466 0.2500 0.3392 1